The following is a PBE-GGA calculation of an optimized crystal structure of Pm2Pr2SmDy4, from Alexandria via LeMat-Bulk.

Calculated values
Calculated formation energy ... 0.002 eV/atom

Lattice parameters (Å, degrees): 9.633 9.633 9.691 115.24 115.24 21.83
Positions (direct):
Pm: 0.147 0.147 0.163
Pm: 0.853 0.853 0.837
Pr: 0.334 0.334 0.499
Pr: 0.666 0.666 0.501
Sm: 0.000 0.000 0.500
Dy: 0.185 0.185 0.836
Dy: 0.480 0.480 0.167
Dy: 0.520 0.520 0.833
Dy: 0.815 0.815 0.164

The following is a PBE-GGA calculation of an optimized crystal structure of SnSb, from Alexandria via LeMat-Bulk.

Calculated values
Formation energy from raw total energies ... 0.106 eV per atom

Lattice parameters (Å, degrees): 7.921 7.921 7.921 94.18 94.18 148.66
Positions (direct):
Sn: 0.092 0.649 0.741
Sn: 0.351 0.092 0.443
Sn: 0.649 0.908 0.557
Sn: 0.908 0.351 0.259
Sb: 0.344 0.380 0.724
Sb: 0.380 0.656 0.036
Sb: 0.620 0.344 0.964
Sb: 0.656 0.620 0.276

The following is a PBE-GGA calculation of an optimized crystal structure of Zr2UPt9, from Alexandria via LeMat-Bulk.

Calculated values
Calculated formation energy ... -0.914 eV/atom

Lattice parameters (Å, degrees): 4.088 4.088 12.284 90.00 90.00 90.00
Positions (direct):
Zr: 0.000 0.000 0.164
Zr: 0.000 0.000 0.836
U: 0.000 0.000 0.500
Pt: 0.000 0.500 0.000
Pt: 0.000 0.500 0.326
Pt: 0.000 0.500 0.674
Pt: 0.500 0.000 0.000
Pt: 0.500 0.000 0.326
Pt: 0.500 0.000 0.674
Pt: 0.500 0.500 0.163
Pt: 0.500 0.500 0.500
Pt: 0.500 0.500 0.837

The following is a PBE-GGA calculation of an optimized crystal structure of Ca2CSeCl, from Alexandria via LeMat-Bulk.

Calculated values
Formation energy from raw total energies ... -0.106 eV per atom

Lattice parameters (Å, degrees): 5.502 5.502 4.091 90.00 90.00 90.00
Positions (direct):
Ca: 0.000 0.500 0.000
Ca: 0.500 0.000 0.000
C: 0.000 0.000 0.500
Se: 0.000 0.000 0.000
Cl: 0.500 0.500 0.500

The following is a PBE-GGA calculation of an optimized crystal structure of TbHgPb, from Alexandria via LeMat-Bulk.

Calculated values
Calculated formation energy ... -0.384 eV/atom

Lattice parameters (Å, degrees): 8.165 8.165 4.406 90.00 90.00 146.37
Positions (direct):
Tb: 0.100 0.900 0.750
Tb: 0.900 0.100 0.250
Hg: 0.256 0.744 0.250
Hg: 0.744 0.256 0.750
Pb: 0.423 0.577 0.750
Pb: 0.577 0.423 0.250

The following is a PBE-GGA calculation of an optimized crystal structure of Li2AlSb2, from Alexandria via LeMat-Bulk.

Calculated values
Excess energy over the best structure of this formula in the dataset ... 0.000 eV/atom
Formation energy from raw total energies ... -0.225 eV per atom

Lattice parameters (Å, degrees): 8.438 8.438 3.004 90.00 90.00 90.00
Positions (direct):
Li: 0.120 0.380 0.000
Li: 0.380 0.880 0.000
Li: 0.620 0.120 0.000
Li: 0.880 0.620 0.000
Al: 0.000 0.000 0.500
Al: 0.500 0.500 0.500
Sb: 0.178 0.678 0.500
Sb: 0.322 0.178 0.500
Sb: 0.678 0.822 0.500
Sb: 0.822 0.322 0.500

| no. | DFT total energy (eV per atom) |
| --- | --- |
| 1 | -4.6852 |
| 2 | -3.9562 |
| 3 | -7.8102 |
| 4 | -3.8174 |
| 5 | -3.2637 |
| 6 | -3.3880 |